[1]
A relaxed Sm2HPb crystal. Source: the Alexandria database, functional PBE.

Output
**Uncorrected energy**: -18.61 eV per formula unit
**Crystal system**: orthorhombic
**Density of states at the Fermi level**: 0.55 states/eV/atom

Geometry as POSCAR:
```
Sm2HPb
1.0
-2.244 -3.121 0.895
2.861 -0.364 5.907
-5.608 6.371 -0.549
Sm H Pb
4 2 2
Cartesian
-1.970 0.457 0.357
-2.136 3.671 2.446
-5.996 3.434 0.643
-0.553 0.277 3.281
-0.112 -0.636 1.201
-2.411 1.370 2.437
-5.053 3.679 3.859
-2.462 -0.060 6.031
```



[2]
A relaxed AcCuSb2 crystal. Source: the Alexandria database, functional PBE.

Output
**Crystal system**: tetragonal
**Density of states at the Fermi level**: 0.36 states/eV/atom
**Formation energy (no corrections)**: -0.684 eV per atom

Geometry as POSCAR:
```
AcCuSb2
1.0
-4.143 1.226 1.287
-0.427 -3.855 2.297
4.073 4.695 8.639
Ac Cu Sb
2 2 4
Cartesian
0.798 -0.761 3.295
0.989 4.141 7.135
-2.285 -1.315 1.792
0.000 0.000 0.000
-1.508 1.262 1.838
3.296 2.118 8.592
2.036 2.348 4.319
-0.249 1.033 6.111
```



[3]
A relaxed KOsPt2 crystal. Source: the Alexandria database, functional PBE.

Output
**Crystal system**: tetragonal
**Density of states at the Fermi level**: 1.97 states/eV/atom
**Formation energy**: 78.9 kJ per mole of atoms

Geometry as POSCAR:
```
KOsPt2
1.0
-0.003 -7.343 2.765
7.799 0.301 0.808
3.504 -2.265 5.123
K Os Pt
2 2 4
Cartesian
3.898 -3.521 1.786
7.600 -2.742 3.859
0.000 0.000 0.000
3.699 -6.564 4.837
1.849 -5.967 3.429
5.750 -0.446 1.812
4.649 -4.374 5.088
10.351 -7.825 7.062
```



[4]
A relaxed Ta4Pt crystal. Source: the Alexandria database, functional PBE.

Output
**Crystal system**: cubic
**Density of states at the Fermi level**: 1.33 states/eV/atom
**Formation energy**: 79.9 kJ per mole of atoms

Geometry as POSCAR:
```
Ta4Pt
1.0
1.109 -4.745 -1.842
-1.083 -0.321 5.086
-4.123 1.928 -2.535
Ta Pt
4 1
Cartesian
0.554 -2.373 -0.921
-2.049 -1.569 0.354
-0.542 -0.161 2.543
-2.061 0.964 -1.268
0.000 0.000 0.000
```



[5]
A relaxed Zr2Sc2Ru crystal. Source: the Alexandria database, functional PBE.

Output
**Crystal system**: tetragonal
**Density of states at the Fermi level**: 0.57 states/eV/atom
**Formation energy**: -1.2 kJ per mole of atoms

Geometry as POSCAR:
```
Zr2Sc2Ru
1.0
-5.726 2.559 -1.846
-1.862 -5.828 -2.304
-1.968 -1.153 4.506
Sc Ru Zr
4 2 4
Cartesian
-3.561 -4.047 -2.591
-6.064 -1.641 -3.069
-4.026 0.778 -1.560
-1.523 -1.628 -1.082
0.000 0.000 0.000
-3.794 -1.634 -2.075
-3.161 -4.027 0.420
-6.343 -3.748 -0.899
-6.395 -0.395 -0.064
-3.213 -0.674 1.255
```



[6]
A relaxed AlBOs crystal. Source: the Alexandria database, functional PBE.

Output
**Crystal system**: tetragonal
**Density of states at the Fermi level**: 0.36 states/eV/atom
**Formation energy**: -10.7 kJ per mole of atoms

Geometry as POSCAR:
```
AlBOs
1.0
3.326 0.000 0.000
0.000 3.326 0.000
-1.663 -1.663 6.760
Os B Al
2 2 2
Cartesian
0.000 0.000 1.373
1.663 1.663 5.387
0.000 1.663 0.000
1.663 0.000 0.000
1.663 1.663 2.648
0.000 0.000 4.112
```



[7]
A relaxed TmMnCl crystal. Source: the Alexandria database, functional PBE.

Output
**Crystal system**: monoclinic
**Density of states at the Fermi level**: 0.11 states/eV/atom
**Formation energy (no corrections)**: -0.759 eV per atom

Geometry as POSCAR:
```
TmMnCl
1.0
1.065 0.200 -3.652
1.884 -3.544 -3.618
-11.555 3.270 4.761
Mn Tm Cl
2 2 2
Cartesian
-0.966 -2.243 -3.708
0.540 -1.917 -5.237
-2.882 -0.676 -2.195
0.572 0.059 -3.133
-5.151 0.727 -0.792
-8.715 1.937 0.224
```



[8]
A relaxed CsHf4Te8 crystal. Source: the Alexandria database, functional PBE.

Output
**Crystal system**: monoclinic
**Density of states at the Fermi level**: 0.26 states/eV/atom
**Formation energy (no corrections)**: -0.842 eV per atom

Geometry as POSCAR:
```
CsHf4Te8
1.0
-1.472 -3.757 -0.168
6.134 -4.861 6.425
-6.543 0.003 8.679
Cs Hf Te
1 4 8
Cartesian
-7.076 -1.943 8.318
1.697 -5.415 9.125
-3.494 -5.594 10.054
2.023 -3.157 4.323
-3.170 -3.335 5.252
-0.556 -2.195 5.401
1.815 -5.329 6.170
-3.288 -3.422 8.207
-0.917 -6.555 8.971
2.913 -8.048 8.813
-1.978 -4.106 12.028
-4.387 -0.702 5.564
0.508 -4.646 2.349
```



[9]
A relaxed KScRh crystal. Source: the Alexandria database, functional PBE.

Output
**Crystal system**: tetragonal
**Density of states at the Fermi level**: 0.36 states/eV/atom
**Formation energy**: -14.3 kJ per mole of atoms

Geometry as POSCAR:
```
KScRh
1.0
-4.028 4.767 4.464
-3.873 1.970 6.325
2.381 1.405 1.915
K Rh Sc
1 1 1
Cartesian
-7.642 6.603 10.566
-0.716 3.012 4.589
-5.061 5.265 8.339
```



[10]
A relaxed LaVCr2Os crystal. Source: the Alexandria database, functional PBE.

Output
**Crystal system**: tetragonal
**Density of states at the Fermi level**: 2.06 states/eV/atom
**Formation energy**: 145.7 kJ per mole of atoms

Geometry as POSCAR:
```
LaVCr2Os
1.0
-0.887 0.919 4.034
4.652 -1.772 1.427
1.634 3.868 -0.522
Cr V Os La
2 1 1 1
Cartesian
0.817 1.934 -0.261
-0.444 0.460 2.017
0.000 0.000 0.000
2.699 1.507 2.470
2.326 -0.886 0.714
```



[11]
A relaxed Mg2CdIr crystal. Source: the Alexandria database, functional PBE.

Output
**Crystal system**: tetragonal
**Density of states at the Fermi level**: 0.47 states/eV/atom
**Formation energy**: -20.7 kJ per mole of atoms

Geometry as POSCAR:
```
Mg2CdIr
1.0
-4.933 -0.564 1.433
-1.518 -4.937 0.160
4.035 2.590 1.928
Mg Ir Cd
2 1 1
Cartesian
0.000 0.000 0.000
-0.354 -2.549 1.442
-2.062 -0.362 2.079
-3.225 -2.751 0.796
```



[12]
A relaxed NdSm6Ho4 crystal. Source: the Alexandria database, functional PBE.

Output
**Crystal system**: orthorhombic
**Density of states at the Fermi level**: 1.81 states/eV/atom
**Formation energy**: 11.4 kJ per mole of atoms

Geometry as POSCAR:
```
NdSm6Ho4
1.0
5.839 0.000 0.000
-2.919 4.832 0.000
0.000 0.000 25.790
Nd Sm Ho
2 12 8
Cartesian
2.919 2.784 6.448
0.000 2.048 19.343
2.919 0.000 0.000
2.919 0.000 12.895
0.000 1.178 8.228
2.919 3.654 17.562
2.919 3.654 21.123
0.000 1.178 4.667
2.919 2.880 10.307
0.000 1.951 15.483
0.000 1.951 23.202
2.919 2.880 2.588
0.000 4.347 6.448
2.919 0.485 19.343
2.919 3.387 14.012
0.000 4.395 3.167
0.000 1.444 11.778
2.919 0.437 22.624
2.919 3.387 24.673
0.000 1.444 1.117
2.919 0.437 16.062
0.000 4.395 9.728
```